# 1
First-principles (PBE-GGA) data for a geometry-optimized KZrSb2 structure, as listed in Alexandria.

Its calculated density is 5.74 g/cm3. The formation energy without anion corrections is 0.00 eV/atom. The calculation puts the density of states at the Fermi level at 0.764 states/eV per atom. The calculation puts the total DFT energy (no corrections) at -4.4733 eV/atom. The value obtained for the energy relative to the lowest polymorph listed for this composition is 496 meV per atom.

Geometry as POSCAR:
```
KZrSb2
1.0
-0.8382 -1.0552 -3.7355
2.0742 -4.7087 0.8647
-4.6591 -1.7686 1.5450
K Sb Zr
1 2 1
Cartesian
-2.7486 -1.4119 -1.0953
0.0000 0.0000 0.0000
-1.2924 -3.2387 1.2048
0.6180 -2.8820 -1.4354
```


# 2
First-principles (PBE-GGA) data for a geometry-optimized Ca3Mg2Zn structure, as listed in Alexandria.

Its calculated density is 2.17 g/cm3. The calculation puts the density of states at the Fermi level at 0.716 states/eV per atom. The value obtained for the energy of formation from the pure elements is -69 meV per atom. The calculation puts the total DFT energy (no corrections) at -1.8133 eV/atom. The value obtained for the energy relative to the lowest polymorph listed for this composition is 60 meV per atom.

Geometry as POSCAR:
```
Ca3Mg2Zn
1.0
-6.8823 -1.5430 2.6063
-0.1798 -7.4556 -0.9593
2.4214 -0.8187 5.9094
Ca Mg Zn
6 4 2
Cartesian
1.2765 -1.3016 4.5579
-5.9172 -8.5158 2.9985
-4.8042 -6.4728 6.3330
0.1635 -3.3446 1.2233
-2.4142 -8.5812 5.0615
-2.2266 -1.2362 2.4948
-4.6406 -3.5206 1.4137
-1.2108 -5.8875 3.1879
-2.4215 -5.4781 0.2332
-3.4299 -3.9299 4.3684
-0.5903 -3.6803 4.9932
-4.0504 -6.1371 2.5631
```


# 3
First-principles (PBE-GGA) data for a geometry-optimized MgPaInO6 structure, as listed in Alexandria.

Its calculated density is 6.39 g/cm3. The formation energy without anion corrections is -2.17 eV/atom. The calculation puts the density of states at the Fermi level at 0.784 states/eV per atom. The calculation puts the total DFT energy (no corrections) at -7.0115 eV/atom.

Geometry as POSCAR:
```
MgPaInO6
1.0
-2.6866 3.9148 -0.1909
-3.6340 -2.6423 -3.0424
-0.4456 -0.0420 5.4077
Mg Pa In O
1 1 1 6
Cartesian
-3.9145 0.1819 -0.3211
-1.5084 -0.9088 2.5910
-1.3433 1.9574 -0.0955
-4.6738 1.1229 1.4046
-3.2336 1.9857 -1.1715
-5.7616 0.2429 -1.3334
-2.1005 0.1008 0.7482
-3.0986 -0.7202 -2.0419
-4.6188 -1.6410 0.4672
```